A plane-wave DFT calculation with GGA-PBE was carried out for an optimized crystal structure of InHg3C.

Calculated values
E_tot: -5.464 eV/cell
formation energy: 1.48 eV per atom

Lattice parameters (Å, degrees): 5.7214 5.7214 5.7214 90.00 90.00 90.00
Each line ends with the local moment (μB).
Atoms (fractional coordinates):
C: 0.5000 0.5000 0.5000  1.06
Hg: 0.0000 0.5000 0.0000  0.03
Hg: 0.0000 0.0000 0.5000  0.02
Hg: 0.5000 0.0000 0.0000  0.03
In: 0.0000 0.0000 0.0000  0.02

A plane-wave DFT calculation with GGA-PBE was carried out for an optimized crystal structure of TaZn2N.

Calculated values
formation energy from raw total energies: 0.23 eV per atom
E_tot: -43.643 eV/cell

Lattice parameters (Å, degrees): 7.2275 7.2275 5.5342 49.23 49.23 90.00
Atoms (fractional coordinates):
Zn: 0.5485 0.1250 0.2500
Zn: 0.2015 0.6250 0.2500
Zn: 0.3750 0.4515 0.7500
Zn: 0.8750 0.7985 0.7500
N: 0.5000 0.5000 0.0000
N: 0.2500 0.7500 0.5000
Ta: 0.0000 0.0000 0.0000
Ta: 0.7500 0.2500 0.5000